Record 1
# Ba2CdIr, relaxed, DFT PBE-GGA
data_Ba2CdIr
_chemical_formula_sum 'Ba2 Cd1 Ir1'
_space_group_name_H-M_alt 'P m m m'
_space_group_IT_number 47
_space_group_name_Hall '-P 2 2'
_cell_length_a 3.861
_cell_length_b 3.949
_cell_length_c 8.564
_cell_angle_alpha 90.00
_cell_angle_beta 90.00
_cell_angle_gamma 90.00
loop_
_atom_site_label
_atom_site_type_symbol
_atom_site_fract_x
_atom_site_fract_y
_atom_site_fract_z
Ba1 Ba 0.000 0.000 0.206
Cd1 Cd 0.500 0.500 0.500
Ir1 Ir 0.500 0.500 0.000
# DFT formation energy (eV/atom): -0.065

***

Record 2
# CeThSiN, relaxed, DFT PBE-GGA
data_CeThSiN
_chemical_formula_sum 'Ce2 Th2 Si2 N2'
_space_group_name_H-M_alt 'P 4/n m m'
_space_group_IT_number 129
_cell_length_a 4.256
_cell_length_b 4.256
_cell_length_c 9.649
_cell_angle_alpha 90.00
_cell_angle_beta 90.00
_cell_angle_gamma 90.00
loop_
_space_group_symop_operation_xyz
'x,y,z'
'-x,-y,-z'
'-y+1/2,x,z'
'y+1/2,-x,-z'
'-x+1/2,-y+1/2,z'
'x+1/2,y+1/2,-z'
'y,-x+1/2,z'
'-y,x+1/2,-z'
'x+1/2,-y,-z'
'-x+1/2,y,z'
'-y,-x,-z'
'y,x,z'
'-x,y+1/2,-z'
'x,-y+1/2,z'
'y+1/2,x+1/2,-z'
'-y+1/2,-x+1/2,z'
loop_
_atom_site_label
_atom_site_type_symbol
_atom_site_fract_x
_atom_site_fract_y
_atom_site_fract_z
Ce1 Ce 0.250 0.750 0.000
Th1 Th 0.250 0.250 0.388
Si1 Si 0.250 0.250 0.793
N1 N 0.250 0.750 0.500
# Raw formation energy (eV/atom): -0.8727

***

Record 3
# ReSiPb2, relaxed, DFT PBE-GGA
data_ReSiPb2
_chemical_formula_sum 'Re2 Si2 Pb4'
_space_group_name_H-M_alt 'I m m m'
_space_group_IT_number 71
_space_group_name_Hall '-I 2 2'
_cell_length_a 3.710
_cell_length_b 5.151
_cell_length_c 8.766
_cell_angle_alpha 90.00
_cell_angle_beta 90.00
_cell_angle_gamma 90.00
loop_
_atom_site_label
_atom_site_type_symbol
_atom_site_fract_x
_atom_site_fract_y
_atom_site_fract_z
Re1 Re 0.000 0.000 0.000
Si1 Si 0.000 0.000 0.500
Pb1 Pb 0.000 0.500 0.243
# Raw formation energy (eV/atom): 1.0889

***

Record 4
# Ru3Au, relaxed, DFT PBE-GGA
data_Ru3Au
_chemical_formula_sum 'Ru3 Au1'
_space_group_name_H-M_alt 'P -6 m 2'
_space_group_IT_number 187
_space_group_name_Hall 'P -6 2'
_cell_length_a 2.7744
_cell_length_b 2.7744
_cell_length_c 8.9666
_cell_angle_alpha 90.00
_cell_angle_beta 90.00
_cell_angle_gamma 120.00
loop_
_atom_site_label
_atom_site_type_symbol
_atom_site_fract_x
_atom_site_fract_y
_atom_site_fract_z
Ru1 Ru 0.0000 0.0000 0.0000
Ru2 Ru 0.3333 0.6667 0.2300
Au1 Au 0.0000 0.0000 0.5000
# DFT formation energy (eV/atom): 0.171
# E above lowest polymorph (meV per atom): 0.0

***

| no. | total magnetic moment (μB/cell) |
| --- | --- |
| 1 | 0.00 |
| 2 | 0.00 |
| 3 | 0.00 |
| 4 | 0.00 |